(1)
Compound: CaBeSi2
Source: Alexandria via LeMat-Bulk
Functional: PBE
Structure: relaxed

Results
The calculation puts the uncorrected formation energy at 0.09 eV per atom. As for the density of states at the Fermi level: 0.334 states/eV per atom.

The structure in POSCAR format:
```
CaBeSi2
1.0
3.3118 0.0000 0.0000
0.0000 3.2720 0.0000
0.0000 0.0000 6.2797
Si Be Ca
2 1 1
direct
0.5000 0.5000 0.2623 Si
0.0000 0.0000 0.0705 Si
0.0000 0.0000 0.4194 Be
0.5000 0.5000 0.7478 Ca
```



(2)
Compound: RbTlVPt2
Source: Alexandria via LeMat-Bulk
Functional: PBE
Structure: relaxed

Results
The value obtained for the formation energy is 961 meV/atom. As for the density of states at the Fermi level: 1.218 states/eV per atom.

The structure in POSCAR format:
```
RbTlVPt2
1.0
5.2383 0.0000 0.0000
0.0000 5.2776 0.0000
0.0000 0.0000 5.2383
Pt Rb V Tl
2 1 1 1
direct
0.0000 0.0000 0.5000 Pt
0.5000 0.0000 0.0000 Pt
0.5000 0.5000 0.5000 Rb
0.0000 0.5000 0.0000 V
0.0000 0.0000 0.0000 Tl
```



(3)
Compound: NaH2Se
Source: Alexandria via LeMat-Bulk
Functional: PBE
Structure: relaxed

Results
The calculation puts the total energy at -3.1500 eV/atom. As for the density of states at the Fermi level: 0.170 states/eV per atom.

The structure in POSCAR format:
```
NaH2Se
1.0
-4.3581 -0.0076 1.2579
1.5392 0.5040 5.2902
-1.4895 3.0258 3.0271
Se Na H
1 1 2
direct
0.3105 0.6250 0.3747 Se
0.5689 0.1254 0.3752 Na
0.9100 0.6247 0.3751 H
0.7107 0.6249 0.3750 H
```



(4)
Compound: Tb3Ag3IrO8
Source: Alexandria via LeMat-Bulk
Functional: PBE
Structure: relaxed

Results
The calculation puts the uncorrected formation energy at -1.76 eV per atom. As for the density of states at the Fermi level: 0.520 states/eV per atom.

The structure in POSCAR format:
```
Tb3Ag3IrO8
1.0
-1.3353 5.2313 4.1419
-5.1091 -3.5071 -2.8073
3.8395 -2.9729 4.9926
O Tb Ir Ag
8 3 1 3
direct
0.2136 0.4271 0.6900 O
0.7864 0.0228 0.3098 O
0.7286 0.4573 0.6854 O
0.2714 0.5427 0.3146 O
0.7864 0.5729 0.3100 O
0.2136 0.9772 0.6902 O
0.7636 0.9772 0.6902 O
0.2364 0.0228 0.3098 O
0.5000 0.5000 0.5000 Tb
0.0000 0.5000 0.5000 Tb
0.5000 0.0000 0.5000 Tb
0.0000 0.0000 0.5000 Ir
0.0000 0.5000 0.0000 Ag
0.5000 0.5000 0.0000 Ag
0.0000 0.0000 0.0000 Ag
```



(5)
Compound: Dy12Al3O5
Source: Alexandria via LeMat-Bulk
Functional: PBE
Structure: relaxed

Results
The calculation puts the uncorrected formation energy at -1.52 eV per atom. As for the density of states at the Fermi level: 0.684 states/eV per atom.

The structure in POSCAR format:
```
Dy12Al3O5
1.0
-8.9561 -9.8078 0.8438
5.8046 1.7385 11.8491
-6.0820 11.2591 -3.6550
O Al Dy
20 12 48
direct
0.3750 0.1250 0.7500 O
0.1250 0.3750 0.2500 O
0.5000 0.0000 0.5000 O
0.2500 0.8750 0.1250 O
0.0000 0.5000 0.5000 O
0.2500 0.3750 0.6250 O
0.5000 0.5000 0.5000 O
0.0000 0.0000 0.0000 O
0.0000 0.5000 0.0000 O
0.0000 0.0000 0.5000 O
0.7500 0.1250 0.8750 O
0.5000 0.0000 0.0000 O
0.1250 0.7500 0.3750 O
0.3750 0.2500 0.1250 O
0.7500 0.6250 0.3750 O
0.8750 0.2500 0.6250 O
0.5000 0.5000 0.0000 O
0.6250 0.8750 0.2500 O
0.6250 0.7500 0.8750 O
0.8750 0.6250 0.7500 O
0.1250 0.8750 0.7500 Al
0.8750 0.7500 0.1250 Al
0.3750 0.7500 0.6250 Al
0.2500 0.1250 0.3750 Al
0.1250 0.2500 0.8750 Al
0.2500 0.6250 0.8750 Al
0.7500 0.3750 0.1250 Al
0.6250 0.2500 0.3750 Al
0.3750 0.6250 0.2500 Al
0.6250 0.3750 0.7500 Al
0.8750 0.1250 0.2500 Al
0.7500 0.8750 0.6250 Al
0.3892 0.9858 0.7991 Dy
0.8892 0.5901 0.9033 Dy
0.4099 0.1108 0.5967 Dy
0.9099 0.8133 0.7991 Dy
0.5901 0.8892 0.4033 Dy
0.5901 0.7009 0.6867 Dy
0.1108 0.4099 0.0967 Dy
0.8133 0.9033 0.0142 Dy
0.6867 0.4858 0.5967 Dy
0.1867 0.0901 0.7009 Dy
0.5142 0.2009 0.1108 Dy
0.4099 0.2991 0.3133 Dy
0.4033 0.0142 0.3133 Dy
0.0967 0.1867 0.4858 Dy
0.0142 0.6108 0.7009 Dy
0.7991 0.3133 0.9099 Dy
0.7009 0.5901 0.1867 Dy
0.6867 0.2009 0.5901 Dy
0.0142 0.4033 0.8133 Dy
0.4858 0.6867 0.0967 Dy
0.9858 0.3892 0.2991 Dy
0.2009 0.6867 0.0901 Dy
0.6108 0.0142 0.2009 Dy
0.7991 0.4858 0.3892 Dy
0.2991 0.4099 0.8133 Dy
0.9858 0.5967 0.1867 Dy
0.9033 0.8133 0.5142 Dy
0.1867 0.0967 0.9858 Dy
0.4033 0.3892 0.5901 Dy
0.4858 0.7991 0.8892 Dy
0.3133 0.5142 0.4033 Dy
0.9033 0.0901 0.8892 Dy
0.8892 0.2991 0.4858 Dy
0.8133 0.9099 0.2991 Dy
0.2991 0.8892 0.9858 Dy
0.0901 0.9033 0.3892 Dy
0.9099 0.0967 0.6108 Dy
0.2009 0.5142 0.6108 Dy
0.5967 0.9858 0.6867 Dy
0.3892 0.4033 0.0901 Dy
0.0967 0.9099 0.1108 Dy
0.5142 0.3133 0.9033 Dy
0.7009 0.1108 0.0142 Dy
0.3133 0.7991 0.4099 Dy
0.1108 0.7009 0.5142 Dy
0.5967 0.6108 0.4099 Dy
0.6108 0.5967 0.9099 Dy
0.0901 0.1867 0.2009 Dy
```



(6)
Compound: Ca2AuN
Source: Alexandria via LeMat-Bulk
Functional: PBE
Structure: relaxed

Results
The calculation puts the uncorrected formation energy at -0.79 eV per atom.

The structure in POSCAR format:
```
Ca2AuN
1.0
3.6511 0.0000 0.0000
1.8256 3.1620 0.0000
1.8256 1.0540 7.1755
Au Ca N
1 2 1
direct
0.5000 0.5000 0.5000 Au
0.2752 0.2752 0.1743 Ca
0.7248 0.7248 0.8257 Ca
0.0000 0.0000 0.0000 N
```



(7)
Compound: KZn2CuB
Source: Alexandria via LeMat-Bulk
Functional: PBE
Structure: relaxed

Results
The value obtained for the formation energy is 1153 meV/atom. As for the density of states at the Fermi level: 0.788 states/eV per atom.

The structure in POSCAR format:
```
KZn2CuB
1.0
4.6636 0.0000 0.0000
0.0000 5.7949 0.0000
0.0000 0.0000 4.6636
K Cu Zn B
1 1 2 1
direct
0.0000 0.5000 0.0000 K
0.0000 0.0000 0.0000 Cu
0.0000 0.0000 0.5000 Zn
0.5000 0.0000 0.0000 Zn
0.5000 0.5000 0.5000 B
```



(8)
Compound: GaPdRh2W
Source: Alexandria via LeMat-Bulk
Functional: PBE
Structure: relaxed

Results
The value obtained for the formation energy is 1252 meV/atom. As for the density of states at the Fermi level: 1.315 states/eV per atom.

The structure in POSCAR format:
```
GaPdRh2W
1.0
-2.6431 1.4430 3.2721
-3.6497 -2.1238 -2.0115
0.8652 -3.6899 2.3262
Rh W Pd Ga
2 1 1 1
direct
0.0000 0.0000 0.5000 Rh
0.5000 0.0000 0.0000 Rh
0.0000 0.5000 0.0000 W
0.5000 0.5000 0.5000 Pd
0.0000 0.0000 0.0000 Ga
```



> Which formula does entry 1 have?

CaBeSi2



What did the first record say?
Compound: CaBeSi2
Source: Alexandria via LeMat-Bulk
Functional: PBE
Structure: relaxed

Results
The calculation puts the uncorrected formation energy at 0.09 eV per atom. As for the density of states at the Fermi level: 0.334 states/eV per atom.

The structure in POSCAR format:
```
CaBeSi2
1.0
3.3118 0.0000 0.0000
0.0000 3.2720 0.0000
0.0000 0.0000 6.2797
Si Be Ca
2 1 1
direct
0.5000 0.5000 0.2623 Si
0.0000 0.0000 0.0705 Si
0.0000 0.0000 0.4194 Be
0.5000 0.5000 0.7478 Ca
```



> Which formula does entry 5 have?

Dy12Al3O5